A relaxed RhC4S2 crystal, computed with GGA-PBE.

Cell and atoms, written as extended XYZ:
```
7
Lattice="-2.1567 2.1567 5.2088 2.1567 -2.1567 5.2088 2.1567 2.1567 -5.2088" Properties=species:S:1:pos:R:3 pbc="T T T"
Rh 0.0000 0.0000 0.0000
C 2.1567 0.0000 0.0000
C 0.0000 0.0000 1.9836
C 0.0000 2.1567 0.0000
C 0.0000 0.0000 8.4340
S 0.0000 0.0000 3.5171
S 0.0000 0.0000 6.9005
```

## Properties
The raw formation energy is 1.909 eV per atom. The final energy is -5.59 eV/atom. As for the density of states at the Fermi level: 3.6 states/eV/cell.